# 1
First-principles (GGA-PBE) data for a relaxed KSrPb4 crystal, as listed in Alexandria.

Results
Volume in Å³/atom: 34.6
Uncorrected energy in eV/atom: -3.1703
Crystal system: monoclinic
Total magnetic moment in μB per formula unit: 0.00
Space-group type: No. 10
Distance to the lowest polymorph of the same formula in meV per atom: 27.5

Geometry as POSCAR:
```
KSrPb4
1.0
3.766 0.000 0.000
0.000 5.651 0.000
-0.003 0.000 9.761
K Sr Pb
1 1 4
Direct
0.000 0.000 0.000 K
0.000 0.500 0.500 Sr
0.488 0.000 0.662 Pb
0.496 0.500 0.174 Pb
0.504 0.500 0.826 Pb
0.512 0.000 0.338 Pb
```

=====

# 2
First-principles (GGA-PBE) data for a relaxed Ca2CrCoAg crystal, as listed in Alexandria.

Results
Volume in Å³/atom: 25.7
Uncorrected energy in eV/atom: -4.0678
Crystal system: tetragonal
Total magnetic moment in μB per formula unit: 3.28
Space-group type: No. 123

Geometry as POSCAR:
```
Ca2CrCoAg
1.0
5.620 0.000 0.000
0.000 5.620 0.000
0.000 0.000 4.075
Ca Cr Co Ag
2 1 1 1
Direct
0.000 0.500 0.000 Ca
0.500 0.000 0.000 Ca
0.000 0.000 0.000 Cr
0.000 0.000 0.500 Co
0.500 0.500 0.500 Ag
```

=====

# 3
First-principles (GGA-PBE) data for a relaxed ErMgCdPt crystal, as listed in Alexandria.

Results
Volume in Å³/atom: 20.5
Uncorrected energy in eV/atom: -3.9272
Crystal system: cubic
Total magnetic moment in μB per formula unit: 0.00
Space-group type: No. 216

Geometry as POSCAR:
```
ErMgCdPt
1.0
0.000 3.446 3.446
3.446 0.000 3.446
3.446 3.446 0.000
Er Mg Cd Pt
1 1 1 1
Direct
0.000 0.000 0.000 Er
0.500 0.500 0.500 Mg
0.250 0.250 0.250 Cd
0.750 0.750 0.750 Pt
```

=====

# 4
First-principles (GGA-PBE) data for a relaxed Mg3P2 crystal, as listed in Alexandria.

Results
Volume in Å³/atom: 21.0
Uncorrected energy in eV/atom: -3.7297
Crystal system: trigonal
Total magnetic moment in μB per formula unit: 0.00
Space-group type: No. 167

Geometry as POSCAR:
```
Mg3P2
1.0
3.322 1.918 5.494
-3.322 1.918 5.494
0.000 -3.836 5.494
Mg P
6 4
Direct
0.030 0.750 0.470 Mg
0.250 0.530 0.970 Mg
0.470 0.030 0.750 Mg
0.530 0.970 0.250 Mg
0.750 0.470 0.030 Mg
0.970 0.250 0.530 Mg
0.135 0.135 0.135 P
0.365 0.365 0.365 P
0.635 0.635 0.635 P
0.865 0.865 0.865 P
```

=====

# 5
First-principles (GGA-PBE) data for a relaxed KNdTi4O12 crystal, as listed in Alexandria.

Results
Volume in Å³/atom: 13.1
Uncorrected energy in eV/atom: -7.8321
E_form (uncorrected) in eV/atom: -2.446
Crystal system: orthorhombic
Total magnetic moment in μB per formula unit: 4.01
Space-group type: No. 38

Geometry as POSCAR:
```
KNdTi4O12
1.0
7.864 0.000 0.000
0.000 3.878 3.878
0.000 -3.878 3.878
K Nd Ti O
1 1 4 12
Direct
0.000 0.000 0.000 K
0.500 0.503 0.503 Nd
0.240 0.001 0.500 Ti
0.240 0.500 0.001 Ti
0.760 0.001 0.500 Ti
0.760 0.500 0.001 Ti
0.000 0.002 0.499 O
0.000 0.499 0.002 O
0.266 0.743 0.743 O
0.269 0.259 0.743 O
0.269 0.743 0.259 O
0.271 0.259 0.259 O
0.500 0.503 0.995 O
0.500 0.995 0.503 O
0.729 0.259 0.259 O
0.731 0.259 0.743 O
0.731 0.743 0.259 O
0.734 0.743 0.743 O
```

=====

# 6
First-principles (GGA-PBE) data for a relaxed Tb6Ce2Er5 crystal, as listed in Alexandria.

Results
Volume in Å³/atom: 31.8
Uncorrected energy in eV/atom: -4.6710
Crystal system: orthorhombic
Total magnetic moment in μB per formula unit: 1.32
Space-group type: No. 55

Geometry as POSCAR:
```
Tb6Ce2Er5
1.0
11.368 0.000 0.000
0.000 20.550 0.000
0.000 0.000 3.538
Tb Ce Er
12 4 10
Direct
0.069 0.146 0.000 Tb
0.084 0.438 0.000 Tb
0.182 0.875 0.500 Tb
0.318 0.375 0.500 Tb
0.416 0.938 0.000 Tb
0.431 0.646 0.000 Tb
0.569 0.354 0.000 Tb
0.584 0.062 0.000 Tb
0.682 0.625 0.500 Tb
0.818 0.125 0.500 Tb
0.916 0.562 0.000 Tb
0.931 0.854 0.000 Tb
0.190 0.733 0.000 Ce
0.310 0.233 0.000 Ce
0.690 0.767 0.000 Ce
0.810 0.267 0.000 Ce
0.000 0.000 0.500 Er
0.066 0.293 0.500 Er
0.185 0.580 0.500 Er
0.315 0.080 0.500 Er
0.434 0.793 0.500 Er
0.500 0.500 0.500 Er
0.566 0.207 0.500 Er
0.685 0.920 0.500 Er
0.815 0.420 0.500 Er
0.934 0.707 0.500 Er
```

=====

# 7
First-principles (GGA-PBE) data for a relaxed Pa17Nb2 crystal, as listed in Alexandria.

Results
Volume in Å³/atom: 25.5
Uncorrected energy in eV/atom: -9.2075
Crystal system: trigonal
Total magnetic moment in μB per formula unit: 0.00
Space-group type: No. 166

Geometry as POSCAR:
```
Pa17Nb2
1.0
5.132 2.963 5.314
-5.132 2.963 5.314
0.000 -5.926 5.314
Pa Nb
17 2
Direct
0.000 0.000 0.500 Pa
0.000 0.320 0.680 Pa
0.000 0.500 0.000 Pa
0.000 0.680 0.320 Pa
0.091 0.091 0.091 Pa
0.159 0.654 0.654 Pa
0.320 0.000 0.680 Pa
0.320 0.680 0.000 Pa
0.346 0.346 0.841 Pa
0.346 0.841 0.346 Pa
0.500 0.000 0.000 Pa
0.654 0.159 0.654 Pa
0.654 0.654 0.159 Pa
0.680 0.000 0.320 Pa
0.680 0.320 0.000 Pa
0.841 0.346 0.346 Pa
0.909 0.909 0.909 Pa
0.278 0.278 0.278 Nb
0.722 0.722 0.722 Nb
```

=====

# 8
First-principles (GGA-PBE) data for a relaxed Ge2Au2N crystal, as listed in Alexandria.

Results
Volume in Å³/atom: 19.3
Uncorrected energy in eV/atom: -3.5933
E_form (uncorrected) in eV/atom: 1.230
Crystal system: tetragonal
Total magnetic moment in μB per formula unit: 0.00
Space-group type: No. 139
Distance to the lowest polymorph of the same formula in meV per atom: 457.2

Geometry as POSCAR:
```
Ge2Au2N
1.0
-2.013 2.013 5.965
2.013 -2.013 5.965
2.013 2.013 -5.965
Ge Au N
2 2 1
Direct
0.250 0.750 0.500 Ge
0.750 0.250 0.500 Ge
0.109 0.109 0.000 Au
0.891 0.891 0.000 Au
0.500 0.500 0.000 N
```

=====

# 9
First-principles (GGA-PBE) data for a relaxed Pu2Si4PdRh3 crystal, as listed in Alexandria.

Results
Volume in Å³/atom: 17.0
Uncorrected energy in eV/atom: -8.5605
E_form (uncorrected) in eV/atom: -0.800
Crystal system: tetragonal
Total magnetic moment in μB per formula unit: 10.46
Space-group type: No. 115

Geometry as POSCAR:
```
Pu2Si4PdRh3
1.0
4.121 0.000 0.000
0.000 4.121 0.000
0.000 0.000 10.014
Pu Si Pd Rh
2 4 1 3
Direct
0.000 0.500 0.241 Pu
0.500 0.000 0.759 Pu
0.000 0.000 0.000 Si
0.000 0.500 0.636 Si
0.500 0.000 0.364 Si
0.500 0.500 0.000 Si
0.000 0.000 0.500 Pd
0.000 0.500 0.874 Rh
0.500 0.000 0.126 Rh
0.500 0.500 0.500 Rh
```

=====

# 10
First-principles (GGA-PBE) data for a relaxed YCl2 crystal, as listed in Alexandria.

Results
Volume in Å³/atom: 26.7
Uncorrected energy in eV/atom: -5.2828
E_form (uncorrected) in eV/atom: -1.897
Crystal system: tetragonal
Total magnetic moment in μB per formula unit: 0.00
Space-group type: No. 139

Geometry as POSCAR:
```
YCl2
1.0
-1.698 1.698 6.953
1.698 -1.698 6.953
1.698 1.698 -6.953
Y Cl
1 2
Direct
0.000 0.000 0.000 Y
0.386 0.386 0.000 Cl
0.614 0.614 0.000 Cl
```

=====

# 11
First-principles (GGA-PBE) data for a relaxed LaTcP2Os crystal, as listed in Alexandria.

Results
Volume in Å³/atom: 17.9
Uncorrected energy in eV/atom: -8.3376
Crystal system: tetragonal
Total magnetic moment in μB per formula unit: 0.00
Space-group type: No. 119
Distance to the lowest polymorph of the same formula in meV per atom: 0.0

Geometry as POSCAR:
```
LaTcP2Os
1.0
-2.072 2.072 5.215
2.072 -2.072 5.215
2.072 2.072 -5.215
La Tc P Os
1 1 2 1
Direct
0.000 0.000 0.000 La
0.750 0.250 0.500 Tc
0.357 0.357 0.000 P
0.643 0.643 0.000 P
0.250 0.750 0.500 Os
```

=====

# 12
First-principles (GGA-PBE) data for a relaxed Rb2CdSn4Ge3 crystal, as listed in Alexandria.

Results
Volume in Å³/atom: 30.4
Uncorrected energy in eV/atom: -3.3407
Crystal system: tetragonal
Total magnetic moment in μB per formula unit: 0.00
Space-group type: No. 115

Geometry as POSCAR:
```
Rb2CdSn4Ge3
1.0
5.009 0.000 0.000
0.000 5.009 0.000
0.000 0.000 12.097
Rb Cd Sn Ge
2 1 4 3
Direct
0.000 0.500 0.247 Rb
0.500 0.000 0.753 Rb
0.500 0.500 0.000 Cd
0.000 0.000 0.500 Sn
0.000 0.500 0.872 Sn
0.500 0.000 0.128 Sn
0.500 0.500 0.500 Sn
0.000 0.000 0.000 Ge
0.000 0.500 0.625 Ge
0.500 0.000 0.375 Ge
```

=====

# 13
First-principles (GGA-PBE) data for a relaxed Pm2Sm2Er7 crystal, as listed in Alexandria.

Results
Volume in Å³/atom: 32.6
Uncorrected energy in eV/atom: -4.4711
Crystal system: monoclinic
Total magnetic moment in μB per formula unit: 0.00
Space-group type: No. 12

Geometry as POSCAR:
```
Pm2Sm2Er7
1.0
5.598 -5.789 0.000
5.598 5.789 0.000
-2.436 0.000 5.537
Pm Sm Er
2 2 7
Direct
0.211 0.789 0.000 Pm
0.789 0.211 0.000 Pm
0.404 0.404 0.691 Sm
0.596 0.596 0.309 Sm
0.000 0.000 0.500 Er
0.065 0.589 0.324 Er
0.233 0.233 0.078 Er
0.411 0.935 0.676 Er
0.589 0.065 0.324 Er
0.767 0.767 0.922 Er
0.935 0.411 0.676 Er
```

=====

# 14
First-principles (GGA-PBE) data for a relaxed La2SnRh3 crystal, as listed in Alexandria.

Results
Volume in Å³/atom: 22.6
Uncorrected energy in eV/atom: -6.5451
Crystal system: orthorhombic
Total magnetic moment in μB per formula unit: 0.00
Space-group type: No. 71

Geometry as POSCAR:
```
La2SnRh3
1.0
-2.266 2.744 5.449
2.266 -2.744 5.449
2.266 2.744 -5.449
La Sn Rh
2 1 3
Direct
0.178 0.178 0.000 La
0.822 0.822 0.000 La
0.500 0.500 0.000 Sn
0.000 0.500 0.500 Rh
0.368 0.868 0.500 Rh
0.632 0.132 0.500 Rh
```

=====

# 15
First-principles (GGA-PBE) data for a relaxed Ta2CrAg crystal, as listed in Alexandria.

Results
Volume in Å³/atom: 16.6
Uncorrected energy in eV/atom: -8.7253
Crystal system: monoclinic
Total magnetic moment in μB per formula unit: 0.00
Space-group type: No. 10
Distance to the lowest polymorph of the same formula in meV per atom: 110.4

Geometry as POSCAR:
```
Ta2CrAg
1.0
2.779 0.000 0.000
0.000 4.204 0.000
-1.153 0.000 5.675
Ta Cr Ag
2 1 1
Direct
0.089 0.000 0.274 Ta
0.911 0.000 0.726 Ta
0.500 0.500 0.500 Cr
0.500 0.500 0.000 Ag
```

=====

# 16
First-principles (GGA-PBE) data for a relaxed LiTmTlAg crystal, as listed in Alexandria.

Results
Volume in Å³/atom: 21.7
Uncorrected energy in eV/atom: -3.1629
Crystal system: cubic
Total magnetic moment in μB per formula unit: 0.00
Space-group type: No. 216

Geometry as POSCAR:
```
LiTmTlAg
1.0
0.000 3.515 3.515
3.515 0.000 3.515
3.515 3.515 0.000
Li Tm Tl Ag
1 1 1 1
Direct
0.000 0.000 0.000 Li
0.500 0.500 0.500 Tm
0.750 0.750 0.750 Tl
0.250 0.250 0.250 Ag
```

=====

# 17
First-principles (GGA-PBE) data for a relaxed Sr2TeCl crystal, as listed in Alexandria.

Results
Volume in Å³/atom: 30.8
Uncorrected energy in eV/atom: -3.5847
E_form (uncorrected) in eV/atom: -1.497
Crystal system: cubic
Total magnetic moment in μB per formula unit: 0.00
Space-group type: No. 225
Distance to the lowest polymorph of the same formula in meV per atom: 160.4

Geometry as POSCAR:
```
Sr2TeCl
1.0
0.000 3.950 3.950
3.950 0.000 3.950
3.950 3.950 0.000
Sr Te Cl
2 1 1
Direct
0.250 0.250 0.250 Sr
0.750 0.750 0.750 Sr
0.000 0.000 0.000 Te
0.500 0.500 0.500 Cl
```

=====

# 18
First-principles (GGA-PBE) data for a relaxed SrLi2IrC crystal, as listed in Alexandria.

Results
Volume in Å³/atom: 16.2
Uncorrected energy in eV/atom: -4.7348
Crystal system: tetragonal
Total magnetic moment in μB per formula unit: 0.00
Space-group type: No. 123

Geometry as POSCAR:
```
SrLi2IrC
1.0
4.497 0.000 0.000
0.000 4.497 0.000
0.000 0.000 4.003
Sr Li Ir C
1 2 1 1
Direct
0.000 0.000 0.000 Sr
0.000 0.500 0.500 Li
0.500 0.000 0.500 Li
0.500 0.500 0.000 Ir
0.500 0.500 0.500 C
```

=====

# 19
First-principles (GGA-PBE) data for a relaxed K3InF6 crystal, as listed in Alexandria.

Results
Volume in Å³/atom: 19.0
Uncorrected energy in eV/atom: -4.4730
E_form (uncorrected) in eV/atom: -2.747
Crystal system: cubic
Total magnetic moment in μB per formula unit: 0.25
Space-group type: No. 201

Geometry as POSCAR:
```
K3InF6
1.0
9.121 0.000 0.000
0.000 9.121 0.000
0.000 0.000 9.121
K In F
12 4 24
Direct
0.000 0.000 0.000 K
0.000 0.500 0.500 K
0.250 0.250 0.250 K
0.250 0.250 0.750 K
0.250 0.750 0.250 K
0.250 0.750 0.750 K
0.500 0.000 0.500 K
0.500 0.500 0.000 K
0.750 0.250 0.250 K
0.750 0.250 0.750 K
0.750 0.750 0.250 K
0.750 0.750 0.750 K
0.000 0.000 0.500 In
0.000 0.500 0.000 In
0.500 0.000 0.000 In
0.500 0.500 0.500 In
0.040 0.723 0.949 F
0.040 0.777 0.551 F
0.051 0.540 0.223 F
0.051 0.960 0.277 F
0.223 0.051 0.540 F
0.223 0.449 0.960 F
0.277 0.051 0.960 F
0.277 0.449 0.540 F
0.449 0.540 0.277 F
0.449 0.960 0.223 F
0.460 0.723 0.551 F
0.460 0.777 0.949 F
0.540 0.223 0.051 F
0.540 0.277 0.449 F
0.551 0.040 0.777 F
0.551 0.460 0.723 F
0.723 0.551 0.460 F
0.723 0.949 0.040 F
0.777 0.551 0.040 F
0.777 0.949 0.460 F
0.949 0.040 0.723 F
0.949 0.460 0.777 F
0.960 0.223 0.449 F
0.960 0.277 0.051 F
```

=====

# 20
First-principles (GGA-PBE) data for a relaxed K2Fe4Ni crystal, as listed in Alexandria.

Results
Volume in Å³/atom: 26.5
Uncorrected energy in eV/atom: -4.8236
Crystal system: tetragonal
Total magnetic moment in μB per formula unit: 13.65
Space-group type: No. 139

Geometry as POSCAR:
```
K2Fe4Ni
1.0
-2.286 2.286 8.883
2.286 -2.286 8.883
2.286 2.286 -8.883
K Fe Ni
2 4 1
Direct
0.163 0.163 0.000 K
0.837 0.837 0.000 K
0.000 0.500 0.500 Fe
0.379 0.379 0.000 Fe
0.500 0.000 0.500 Fe
0.621 0.621 0.000 Fe
0.500 0.500 0.000 Ni
```